# 1
The following is a DFT calculation (GGA+U) of La3Ga2CoO9 after structural relaxation.

Results
As for the total energy: -107.7 eV for the cell shown.

CIF file:
```
data_La3Ga2CoO9
_chemical_formula_sum 'La3 Ga2 Co1 O9'
_cell_length_a 5.4832
_cell_length_b 5.4832
_cell_length_c 6.7164
_cell_angle_alpha 90.00
_cell_angle_beta 90.00
_cell_angle_gamma 120.00
_space_group_name_H-M_alt 'P -3 m 1'
_space_group_IT_number 164
_space_group_name_Hall '-P 3 2"'
loop_
_atom_site_label
_atom_site_type_symbol
_atom_site_fract_x
_atom_site_fract_y
_atom_site_fract_z
_atom_site_occupancy
La1 La 0.0000 0.0000 0.0000 1
La2 La 0.3333 0.6667 0.6590 1
Ga1 Ga 0.3333 0.6667 0.1661 1
Co1 Co 0.0000 0.0000 0.5000 1
O1 O 0.0000 0.5000 0.0000 1
O2 O 0.1649 0.3297 0.3368 1
```

---

# 2
The following is a DFT calculation (GGA+U) of Sr3LaGaCo2O9 after structural relaxation.

Results
As for the total energy: -402.7 eV for the cell shown.

CIF file:
```
data_Sr3LaGaCo2O9
_chemical_formula_sum 'Sr12 La4 Ga4 Co8 O36'
_cell_length_a 5.6410
_cell_length_b 5.7721
_cell_length_c 28.0542
_cell_angle_alpha 90.00
_cell_angle_beta 90.00
_cell_angle_gamma 90.00
_space_group_name_H-M_alt 'F m m 2'
_space_group_IT_number 42
_space_group_name_Hall 'F 2 -2'
loop_
_atom_site_label
_atom_site_type_symbol
_atom_site_fract_x
_atom_site_fract_y
_atom_site_fract_z
_atom_site_occupancy
Sr1 Sr 0.0000 0.0000 0.0000 1
Sr2 Sr 0.0000 0.0000 0.1273 1
Sr3 Sr 0.0000 0.0000 0.4009 1
La1 La 0.0000 0.0000 0.2770 1
Ga1 Ga 0.0000 0.0000 0.5559 1
Co1 Co 0.0000 0.0000 0.7120 1
Co2 Co 0.0000 0.0000 0.8470 1
O1 O 0.0000 0.0000 0.4895 1
O2 O 0.0000 0.0000 0.7751 1
O3 O 0.0000 0.0000 0.9134 1
O4 O 0.0000 0.2133 0.2000 1
O5 O 0.2500 0.2500 0.0702 1
O6 O 0.2500 0.2500 0.3383 1
```